Below is a relaxed structure of BaLaPd2, with properties calculated at the PBE level.

## Properties
uncorrected energy = -4.86 eV per atom
energy of formation = -0.550 eV/atom
magnetic moment = 0.0 Bohr magnetons per cell
relative energy among the computed polymorphs = 0.124 eV/atom

Lattice parameters (Å, degrees): 4.2953 4.2953 23.2894 90.00 90.00 120.00
Closest atoms and distances in Å follow each position.
Space group R3m (No. 160, hexagonal axes)
One atom of each set of equivalent atoms:
Ba 0.0000 0.0000 0.0000 (multiplicity 3)  6 Pd 3.25-3.38
La 0.0000 0.0000 0.1716 (multiplicity 3)  6 Pd 2.99-3.00
Pd 0.0000 0.0000 0.5763 (multiplicity 3)  3 La 2.99, 3 Ba 3.25
Pd 0.0000 0.0000 0.7655 (multiplicity 3)  3 La 3.00


Below is a relaxed structure of BaLaPd2, with properties calculated at the PBE level.

## Properties
uncorrected energy = -4.68 eV per atom
energy of formation = -0.367 eV/atom
magnetic moment = 0.0 Bohr magnetons per cell
relative energy among the computed polymorphs = 0.306 eV/atom

Lattice parameters (Å, degrees): 8.0900 8.0900 7.5401 90.00 90.00 90.00
Closest atoms and distances in Å follow each position.
Space group I-42d (No. 122)
One atom of each set of equivalent atoms:
Ba 0.0000 0.0000 0.0000 (multiplicity 4)  4 Pd 3.21
La 0.0000 0.0000 0.5000 (multiplicity 4)  4 Pd 2.83
Pd 0.2144 0.2500 0.6250 (multiplicity 8)  2 La 2.83


Below is a relaxed structure of BaLaPd, with properties calculated at the PBE level.

## Properties
uncorrected energy = -4.46 eV per atom
energy of formation = -0.441 eV/atom
magnetic moment = 0.0 Bohr magnetons per cell
relative energy among the computed polymorphs = 0.000 eV/atom

Lattice parameters (Å, degrees): 7.5873 7.7748 7.5989 90.00 98.07 90.00
Closest atoms and distances in Å follow each position.
Space group P2_1/c (No. 14)
One atom of each set of equivalent atoms:
Ba 0.1517 0.1534 0.3212 (multiplicity 4)  3 Pd 3.43-3.48
La 0.3660 0.6991 0.4875 (multiplicity 4)  4 Pd 2.97-3.05
Pd 0.4335 0.0343 0.6934 (multiplicity 4)  4 La 2.97-3.05, 1 Pd 3.28


Below is a relaxed structure of BaLaPd4, with properties calculated at the PBE level.

## Properties
uncorrected energy = -5.25 eV per atom
energy of formation = -0.643 eV/atom
magnetic moment = 0.0 Bohr magnetons per cell

Lattice parameters (Å, degrees): 7.9862 7.9862 7.9862 90.00 90.00 90.00
Closest atoms and distances in Å follow each position.
Space group F-43m (No. 216)
One atom of each set of equivalent atoms:
Ba 0.0000 0.0000 0.0000 (multiplicity 4)  12 Pd 3.31, 4 La 3.46
La 0.2500 0.2500 0.2500 (multiplicity 4)  12 Pd 3.31, 4 Ba 3.46
Pd 0.1245 0.1245 0.6245 (multiplicity 16)  6 Pd 2.81-2.83


Below is a relaxed structure of Ba5LaPd4, with properties calculated at the PBE level.

## Properties
uncorrected energy = -4.02 eV per atom
energy of formation = -0.485 eV/atom
magnetic moment = 0.0 Bohr magnetons per cell

Lattice parameters (Å, degrees): 19.8143 4.5674 8.9646 90.00 104.13 90.00
Closest atoms and distances in Å follow each position.
Space group C2/m (No. 12)
One atom of each set of equivalent atoms:
Ba 0.0000 0.0000 0.0000 (multiplicity 2)  4 Pd 3.35
Ba 0.1608 0.5000 0.8232 (multiplicity 4)  3 Pd 3.13
Ba 0.1676 0.5000 0.3436 (multiplicity 4)  4 Pd 3.17-3.35
La 0.0000 0.0000 0.5000 (multiplicity 2)  6 Pd 3.04-3.06
Pd 0.0021 0.5000 0.2739 (multiplicity 4)  2 La 3.06, 4 Ba 3.13-3.35
Pd 0.1582 0.0000 0.5832 (multiplicity 4)  1 La 3.04, 5 Ba 3.13-3.35


Below is a relaxed structure of BaLaPd10, with properties calculated at the PBE level.

## Properties
uncorrected energy = -5.35 eV per atom
energy of formation = -0.451 eV/atom
magnetic moment = 0.0 Bohr magnetons per cell

Lattice parameters (Å, degrees): 4.4782 5.4818 9.5064 90.00 90.00 90.00
Closest atoms and distances in Å follow each position.
Space group Pmmm (No. 47)
One atom of each set of equivalent atoms:
Ba 0.0000 0.0000 0.0000 (multiplicity 1)  18 Pd 3.23-3.59
La 0.0000 0.5000 0.5000 (multiplicity 1)  6 Pd 3.05-3.13
Pd 0.0000 0.0000 0.3420 (multiplicity 2)  7 Pd 2.70-3.00
Pd 0.0000 0.5000 0.1793 (multiplicity 2)  6 Pd 2.72-2.81
Pd 0.5000 0.0000 0.5000 (multiplicity 1)  8 Pd 2.70
Pd 0.5000 0.2525 0.2564 (multiplicity 4)  8 Pd 2.70-2.79
Pd 0.5000 0.5000 0.0000 (multiplicity 1)  8 Pd 2.79-2.81


Question: Look up the energy of formation of the fifth one.
Answer: -0.485 eV/atom


Question: What is the magnetic moment in the first record?
Answer: 0.0 Bohr magnetons per cell


Question: magnetic moment of number 1 (BaLaPd2)?
Answer: 0.0 Bohr magnetons per cell